Record 1
The following is a DFT calculation (PBE) of crystalline Pr2Sm3In at its relaxed geometry.

Unit cell a=4.9973 b=4.9648 c=8.1685 alpha=107.69 beta=90.00 gamma=90.00
Closest atoms and distances in Å follow each position.
Fractional positions:
Pr 0.0000 0.6621 0.3242  8 Sm 3.52-3.70, 2 In 3.54, 2 Pr 3.69
Pr 0.0000 0.3379 0.6758  8 Sm 3.52-3.70, 2 In 3.54, 2 Pr 3.69
Sm 0.5000 0.1621 0.3243  6 Pr 3.52-3.70, 4 Sm 3.54-3.69, 2 In 3.55
Sm 0.5000 0.5000 0.0000  4 In 3.52, 4 Sm 3.54, 4 Pr 3.55
Sm 0.5000 0.8379 0.6757  6 Pr 3.52-3.70, 4 Sm 3.54-3.69, 2 In 3.55
In 0.0000 0.0000 0.0000  8 Sm 3.52-3.55, 4 Pr 3.54

The calculation puts the energy above the most stable polymorph in this dataset at 0 meV per atom. Its space-group type is Cmmm (65).

---

Record 2
The following is a DFT calculation (PBE) of crystalline Pr7SmIn4 at its relaxed geometry.

Unit cell a=5.8909 b=9.6496 c=7.9734 alpha=75.73 beta=68.32 gamma=72.23
Closest atoms and distances in Å follow each position.
Fractional positions:
Pr 0.7955 0.8801 0.5289  3 Pr 3.39-3.66, 4 In 3.47-3.58
Pr 0.2045 0.1199 0.4711  3 Pr 3.39-3.66, 4 In 3.47-3.58
Pr 0.0627 0.6082 0.2665  5 In 3.29-3.67, 2 Pr 3.39-3.56
Pr 0.9373 0.3918 0.7335  5 In 3.29-3.67, 2 Pr 3.39-3.56
Pr 0.2818 0.6563 0.7802  4 In 3.11-3.27
Pr 0.5000 0.0000 0.0000  2 Sm 2.95, 4 In 3.10-3.22
Pr 0.7182 0.3437 0.2198  4 In 3.11-3.27
Sm 0.0000 0.0000 0.0000  2 Pr 2.95
In 0.5570 0.2456 0.6403  1 In 3.11, 6 Pr 3.11-3.47
In 0.4430 0.7544 0.3597  1 In 3.11, 6 Pr 3.11-3.47
In 0.6812 0.6675 0.9700  5 Pr 3.10-3.29, 1 In 3.11
In 0.3188 0.3325 0.0300  5 Pr 3.10-3.29, 1 In 3.11

Its space-group type is C2/m (12).

---

Record 3
The following is a DFT calculation (PBE) of crystalline PrSm3In3 at its relaxed geometry.

Unit cell a=9.5398 b=9.5398 c=9.5398 alpha=90.00 beta=90.00 gamma=90.00
Closest atoms and distances in Å follow each position.
Fractional positions:
Pr 0.0738 0.5738 0.9262  6 In 3.24-3.42
Pr 0.9262 0.0738 0.5738  6 In 3.24-3.42
Pr 0.4262 0.4262 0.4262  6 In 3.24-3.42
Pr 0.5738 0.9262 0.0738  6 In 3.24-3.42
Sm 0.8234 0.3234 0.1766  6 In 3.21-3.38
Sm 0.9221 0.9221 0.9221  6 In 3.21-3.41
Sm 0.8240 0.6760 0.3240  6 In 3.21-3.36
Sm 0.1766 0.8234 0.3234  6 In 3.21-3.38
Sm 0.1760 0.1760 0.1760  6 In 3.21-3.36
Sm 0.3240 0.8240 0.6760  6 In 3.21-3.36
Sm 0.0779 0.4221 0.5779  6 In 3.21-3.41
Sm 0.3234 0.1766 0.8234  6 In 3.21-3.38
Sm 0.6760 0.3240 0.8240  6 In 3.21-3.36
Sm 0.6766 0.6766 0.6766  6 In 3.21-3.38
Sm 0.5779 0.0779 0.4221  6 In 3.21-3.41
Sm 0.4221 0.5779 0.0779  6 In 3.21-3.41
In 0.7463 0.6209 0.0008  6 Sm 3.21-3.41, 2 Pr 3.24-3.42
In 0.8791 0.9992 0.2463  6 Sm 3.21-3.41, 2 Pr 3.24-3.42
In 0.0008 0.7463 0.6209  6 Sm 3.21-3.41, 2 Pr 3.24-3.42
In 0.1209 0.4992 0.2537  6 Sm 3.21-3.41, 2 Pr 3.24-3.42
In 0.2537 0.1209 0.4992  6 Sm 3.21-3.41, 2 Pr 3.24-3.42
In 0.2463 0.8791 0.9992  6 Sm 3.21-3.41, 2 Pr 3.24-3.42
In 0.9992 0.2463 0.8791  6 Sm 3.21-3.41, 2 Pr 3.24-3.42
In 0.3791 0.5008 0.7537  6 Sm 3.21-3.41, 2 Pr 3.24-3.42
In 0.4992 0.2537 0.1209  6 Sm 3.21-3.41, 2 Pr 3.24-3.42
In 0.6209 0.0008 0.7463  6 Sm 3.21-3.41, 2 Pr 3.24-3.42
In 0.7537 0.3791 0.5008  6 Sm 3.21-3.41, 2 Pr 3.24-3.42
In 0.5008 0.7537 0.3791  6 Sm 3.21-3.41, 2 Pr 3.24-3.42

Its space-group type is P2_13 (198).

---

Record 4
The following is a DFT calculation (PBE) of crystalline Pr3SmIn4 at its relaxed geometry.

Unit cell a=3.6817 b=7.3021 c=10.3436 alpha=110.67 beta=100.25 gamma=90.00
Closest atoms and distances in Å follow each position.
Fractional positions:
Pr 0.0000 0.5000 0.0000  8 In 3.38, 2 Pr 3.68
Pr 0.2162 0.2163 0.4324  6 In 3.29-3.36, 2 Pr 3.68
Pr 0.7838 0.7837 0.5676  6 In 3.29-3.36, 2 Pr 3.68
Sm 0.5000 0.0000 0.0000  4 In 3.21
In 0.3739 0.5820 0.7477  1 In 3.04, 1 Sm 3.21, 5 Pr 3.29-3.38
In 0.6261 0.4180 0.2523  1 In 3.04, 1 Sm 3.21, 5 Pr 3.29-3.38
In 0.6262 0.8343 0.2523  1 In 3.04, 1 Sm 3.21, 5 Pr 3.30-3.38
In 0.3738 0.1657 0.7477  1 In 3.04, 1 Sm 3.21, 5 Pr 3.30-3.38

The calculation puts the energy above the most stable polymorph in this dataset at 178 meV per atom. Its space-group type is Immm (71).

---

Record 5
The following is a DFT calculation (PBE) of crystalline Pr6Sm2In3 at its relaxed geometry.

Unit cell a=5.4819 b=5.4819 c=13.1899 alpha=101.99 beta=101.99 gamma=90.00
Closest atoms and distances in Å follow each position.
Fractional positions:
Pr 0.0995 0.5995 0.1990  2 Sm 2.94
Pr 0.5995 0.0995 0.1990  2 Sm 2.94
Pr 0.9005 0.4005 0.8010  2 Sm 2.94
Pr 0.4005 0.9005 0.8010  2 Sm 2.94
Pr 0.6987 0.6987 0.3974  1 In 3.19, 1 Sm 3.57
Pr 0.3013 0.3013 0.6026  1 In 3.19, 1 Sm 3.57
Sm 0.4431 0.4431 0.8861  1 Sm 2.87, 4 Pr 2.94
Sm 0.5569 0.5569 0.1139  1 Sm 2.87, 4 Pr 2.94
In 0.0000 0.0000 0.0000  8 Pr 3.72, 8 Sm 4.13
In 0.8253 0.8253 0.6506  5 Pr 3.19-3.33
In 0.1747 0.1747 0.3494  5 Pr 3.19-3.33

Its space-group type is I4/mmm (139).

---

Record 6
The following is a DFT calculation (PBE) of crystalline Pr4Sm2In at its relaxed geometry.

Unit cell a=8.9158 b=9.1168 c=9.1274 alpha=134.64 beta=99.14 gamma=98.51
Closest atoms and distances in Å follow each position.
Fractional positions:
Pr 0.8973 0.0843 0.1869  1 Pr 3.12, 1 Sm 3.14, 2 In 3.16-3.41
Pr 0.3619 0.6010 0.2390  1 Pr 3.11, 1 In 3.22, 2 Sm 3.46-3.48
Pr 0.8786 0.6235 0.7436  1 Pr 3.12, 1 In 3.20, 2 Sm 3.47-3.48
Pr 0.7889 0.0199 0.7419  1 In 3.28, 1 Sm 3.40, 1 Pr 3.61
Pr 0.2870 0.0170 0.2448  1 In 3.24, 1 Sm 3.32
Pr 0.3614 0.0428 0.6814  1 Sm 3.07, 1 Pr 3.11, 2 In 3.15-3.38
Pr 0.4618 0.7126 0.7417  1 In 3.28, 1 Sm 3.40, 1 Pr 3.63
Pr 0.9619 0.7124 0.2355  1 In 3.24, 1 Sm 3.31
Sm 0.5817 0.4881 0.8963  3 Pr 3.07-3.40
Sm 0.6679 0.0613 0.4033  4 Pr 3.14-3.52
Sm 0.6256 0.3525 0.2266  5 Pr 3.46-3.86, 2 In 3.78-3.79
Sm 0.1259 0.3524 0.7251  6 Pr 3.48-3.88, 2 Sm 3.78-3.79
In 0.0877 0.5812 0.4696  6 Pr 3.16-3.53, 1 In 3.37
In 0.1624 0.1011 0.9642  6 Pr 3.15-3.50, 1 In 3.37

The calculation puts the energy above the most stable polymorph in this dataset at 110 meV per atom. Its space-group type is P1 (1).

---

Record 7
The following is a DFT calculation (PBE) of crystalline Pr2SmIn2 at its relaxed geometry.

Unit cell a=3.5920 b=4.6145 c=9.3969 alpha=104.21 beta=90.00 gamma=90.00
Closest atoms and distances in Å follow each position.
Fractional positions:
Pr 0.0000 0.1816 0.3632  1 Sm 3.31, 4 In 3.32, 4 Pr 3.40-3.59
Pr 0.0000 0.8184 0.6368  1 Sm 3.31, 4 In 3.32, 4 Pr 3.40-3.59
Sm 0.0000 0.0000 0.0000  2 Pr 3.31, 8 In 3.40, 2 Sm 3.59
In 0.5000 0.5948 0.1896  4 Pr 3.32, 4 Sm 3.40, 3 In 3.45-3.59
In 0.5000 0.4052 0.8104  4 Pr 3.32, 4 Sm 3.40, 3 In 3.45-3.59

The calculation puts the energy above the most stable polymorph in this dataset at 85 meV per atom. Its space-group type is Cmmm (65).

---

Record 8
The following is a DFT calculation (PBE) of crystalline Pr8Sm3In at its relaxed geometry.

Unit cell a=8.5494 b=8.5494 c=8.5494 alpha=93.55 beta=117.97 gamma=117.97
Closest atoms and distances in Å follow each position.
Fractional positions:
Pr 0.5053 0.2660 0.2660  1 Sm 3.09, 1 In 3.15, 2 Pr 3.19-3.42
Pr 0.4947 0.7607 0.7607  1 Sm 3.09, 1 In 3.15, 2 Pr 3.19-3.42
Pr 0.0000 0.7340 0.2393  1 Sm 3.09, 1 In 3.15, 2 Pr 3.19-3.42
Pr 0.0000 0.2393 0.7340  1 Sm 3.09, 1 In 3.15, 2 Pr 3.19-3.42
Pr 0.2546 0.3782 0.3782  3 Pr 3.17-3.42, 3 Sm 3.32-3.47, 1 In 3.34
Pr 0.7454 0.1236 0.1236  3 Pr 3.17-3.42, 3 Sm 3.32-3.47, 1 In 3.34
Pr 0.0000 0.6218 0.8764  3 Pr 3.17-3.42, 3 Sm 3.32-3.47, 1 In 3.34
Pr 0.0000 0.8764 0.6218  3 Pr 3.17-3.42, 3 Sm 3.32-3.47, 1 In 3.34
Sm 0.5000 0.7500 0.2500  4 Pr 3.47
Sm 0.5000 0.2500 0.7500  4 Pr 3.47
Sm 0.0000 0.5000 0.5000  8 Pr 3.09-3.32
In 0.0000 0.0000 0.0000  8 Pr 3.15-3.34

Its space-group type is I-42m (121).

---

| no. | calculated formation energy (eV per atom) | DFT total energy (eV per atom) | magnetization (μB/cell) |
| --- | --- | --- | --- |
| 1 | -0.149 | -4.558 | 0.000 |
| 2 | -0.151 | -4.245 | 0.000 |
| 3 | -0.336 | -4.215 | 0.000 |
| 4 | -0.316 | -4.068 | 0.440 |
| 5 | 0.163 | -4.049 | 0.000 |
| 6 | 0.014 | -4.456 | 0.000 |
| 7 | -0.297 | -4.248 | 0.000 |
| 8 | 0.409 | -4.185 | 0.007 |